The following is a PBE calculation of LiSnPd5 after structural relaxation, from Alexandria via LeMat-Bulk.

Calculated values
- space group = C2/c (15)
- ΔH_f (0 K) (eV per atom) = -0.318
- size of the total moment (μB/f.u.) = 0.00
- energy above the most stable polymorph in this dataset (kcal/mol of atoms) = 0.71
- calculated density (kg/m3) = 9084

Lattice parameters (Å, degrees): 5.477 5.477 9.314 103.29 103.29 63.38
Positions (direct):
Li 0.000 0.500 0.000
Li 0.500 0.000 0.500
Sn 0.117 0.883 0.750
Sn 0.883 0.117 0.250
Pd 0.159 0.346 0.737
Pd 0.240 0.537 0.503
Pd 0.344 0.656 0.250
Pd 0.346 0.159 0.237
Pd 0.463 0.760 0.997
Pd 0.537 0.240 0.003
Pd 0.654 0.841 0.763
Pd 0.656 0.344 0.750
Pd 0.760 0.463 0.497
Pd 0.841 0.654 0.263



The following is a PBE calculation of Li6SnPd6 after structural relaxation, from Alexandria via LeMat-Bulk.

Calculated values
- space group = P6/mmm (191)
- ΔH_f (0 K) (eV per atom) = -0.373
- size of the total moment (μB/f.u.) = 0.00
- calculated density (kg/m3) = 7235

Lattice parameters (Å, degrees): 4.974 4.974 8.560 90.00 90.00 120.00
Positions (direct):
Li 0.000 0.500 0.250
Li 0.000 0.500 0.750
Li 0.500 0.000 0.250
Li 0.500 0.000 0.750
Li 0.500 0.500 0.250
Li 0.500 0.500 0.750
Sn 0.000 0.000 0.000
Pd 0.000 0.000 0.347
Pd 0.000 0.000 0.653
Pd 0.333 0.667 0.000
Pd 0.333 0.667 0.500
Pd 0.667 0.333 0.000
Pd 0.667 0.333 0.500



The following is a PBE calculation of LiSn3Pd5 after structural relaxation, from Alexandria via LeMat-Bulk.

Calculated values
- space group = I4/mcm (140)
- ΔH_f (0 K) (eV per atom) = -0.332
- size of the total moment (μB/f.u.) = 0.00
- energy above the most stable polymorph in this dataset (kcal/mol of atoms) = 4.90
- calculated density (kg/m3) = 8858

Lattice parameters (Å, degrees): 8.715 8.715 8.715 134.12 134.12 66.91
Positions (direct):
Li 0.250 0.750 0.500
Li 0.750 0.250 0.500
Sn 0.138 0.638 0.776
Sn 0.250 0.250 0.000
Sn 0.362 0.138 0.500
Sn 0.638 0.862 0.500
Sn 0.750 0.750 0.000
Sn 0.862 0.362 0.224
Pd 0.000 0.000 0.000
Pd 0.073 0.119 0.500
Pd 0.119 0.619 0.046
Pd 0.381 0.427 0.500
Pd 0.427 0.927 0.046
Pd 0.500 0.500 0.000
Pd 0.573 0.073 0.954
Pd 0.619 0.573 0.500
Pd 0.881 0.381 0.954
Pd 0.927 0.881 0.500



The following is a PBE calculation of LiSn5Pd after structural relaxation, from Alexandria via LeMat-Bulk.

Calculated values
- space group = C2/c (15)
- ΔH_f (0 K) (eV per atom) = -0.144
- size of the total moment (μB/f.u.) = 0.00
- calculated density (kg/m3) = 6874

Lattice parameters (Å, degrees): 6.056 6.056 9.428 91.82 91.82 81.29
Positions (direct):
Li 0.000 0.000 0.000
Li 0.000 0.000 0.500
Sn 0.014 0.589 0.165
Sn 0.178 0.822 0.750
Sn 0.253 0.449 0.504
Sn 0.411 0.986 0.335
Sn 0.449 0.253 0.004
Sn 0.551 0.747 0.996
Sn 0.589 0.014 0.665
Sn 0.747 0.551 0.496
Sn 0.822 0.178 0.250
Sn 0.986 0.411 0.835
Pd 0.457 0.543 0.250
Pd 0.543 0.457 0.750



The following is a PBE calculation of LiSnPd after structural relaxation, from Alexandria via LeMat-Bulk.

Calculated values
- space group = P3m1 (156)
- ΔH_f (0 K) (eV per atom) = -0.479
- size of the total moment (μB/f.u.) = 0.00
- calculated density (kg/m3) = 7006

Lattice parameters (Å, degrees): 4.589 4.589 3.015 90.00 90.00 120.00
Positions (direct):
Li 0.000 0.000 0.000
Sn 0.333 0.667 0.494
Pd 0.667 0.333 0.504



The following is a PBE calculation of LiSn4Pd7 after structural relaxation, from Alexandria via LeMat-Bulk.

Calculated values
- space group = C2/m (12)
- ΔH_f (0 K) (eV per atom) = -0.426
- size of the total moment (μB/f.u.) = 0.00
- calculated density (kg/m3) = 9065

Lattice parameters (Å, degrees): 6.273 6.273 9.848 120.93 120.93 44.18
Positions (direct):
Li 0.000 0.000 0.000
Sn 0.272 0.272 0.673
Sn 0.414 0.414 0.219
Sn 0.586 0.586 0.781
Sn 0.728 0.728 0.327
Pd 0.080 0.080 0.326
Pd 0.215 0.215 0.897
Pd 0.364 0.364 0.462
Pd 0.500 0.500 0.000
Pd 0.636 0.636 0.538
Pd 0.785 0.785 0.103
Pd 0.920 0.920 0.674



The following is a PBE calculation of Li5SnPd6 after structural relaxation, from Alexandria via LeMat-Bulk.

Calculated values
- space group = C2/m (12)
- ΔH_f (0 K) (eV per atom) = -0.521
- size of the total moment (μB/f.u.) = 0.00
- calculated density (kg/m3) = 7689

Lattice parameters (Å, degrees): 6.817 6.817 6.087 90.02 90.02 142.80
Positions (direct):
Li 0.000 0.000 0.000
Li 0.331 0.669 0.500
Li 0.336 0.664 0.000
Li 0.664 0.336 0.000
Li 0.669 0.331 0.500
Sn 0.000 0.000 0.500
Pd 0.170 0.830 0.241
Pd 0.170 0.830 0.759
Pd 0.500 0.500 0.241
Pd 0.500 0.500 0.759
Pd 0.830 0.170 0.241
Pd 0.830 0.170 0.759



The following is a PBE calculation of LiSnPd2 after structural relaxation, from Alexandria via LeMat-Bulk.

Calculated values
- space group = P4/mmm (123)
- ΔH_f (0 K) (eV per atom) = -0.596
- size of the total moment (μB/f.u.) = 0.00
- calculated density (kg/m3) = 8789

Lattice parameters (Å, degrees): 4.137 4.137 3.737 90.00 90.00 90.00
Positions (direct):
Li 0.000 0.000 0.000
Sn 0.500 0.500 0.000
Pd 0.000 0.500 0.500
Pd 0.500 0.000 0.500



The following is a PBE calculation of LiSn2Pd after structural relaxation, from Alexandria via LeMat-Bulk.

Calculated values
- space group = R-3m (166)
- ΔH_f (0 K) (eV per atom) = -0.223
- size of the total moment (μB/f.u.) = 0.00
- calculated density (kg/m3) = 6411

Lattice parameters (Å, degrees): 9.725 9.725 9.725 19.64 19.64 19.64
Positions (direct):
Li 0.000 0.000 0.000
Sn 0.095 0.095 0.095
Sn 0.905 0.905 0.905
Pd 0.500 0.500 0.500



The following is a PBE calculation of Li2SnPd4 after structural relaxation, from Alexandria via LeMat-Bulk.

Calculated values
- space group = I4/mmm (139)
- ΔH_f (0 K) (eV per atom) = 0.234
- size of the total moment (μB/f.u.) = 0.00
- energy above the most stable polymorph in this dataset (kcal/mol of atoms) = 14.54
- calculated density (kg/m3) = 5996

Lattice parameters (Å, degrees): 7.267 7.267 7.267 140.40 140.40 57.24
Positions (direct):
Li 0.106 0.106 0.000
Li 0.894 0.894 0.000
Sn 0.500 0.500 0.000
Pd 0.000 0.500 0.500
Pd 0.302 0.302 0.000
Pd 0.500 0.000 0.500
Pd 0.698 0.698 0.000



The following is a PBE calculation of Li6SnPd5 after structural relaxation, from Alexandria via LeMat-Bulk.

Calculated values
- space group = Immm (71)
- ΔH_f (0 K) (eV per atom) = -0.468
- size of the total moment (μB/f.u.) = 0.00
- calculated density (kg/m3) = 6528

Lattice parameters (Å, degrees): 7.212 7.212 7.212 147.52 117.30 72.40
Positions (direct):
Li 0.057 0.326 0.731
Li 0.217 0.000 0.217
Li 0.405 0.674 0.731
Li 0.595 0.326 0.269
Li 0.783 0.000 0.783
Li 0.943 0.674 0.269
Sn 0.500 0.500 0.000
Pd 0.000 0.500 0.500
Pd 0.178 0.178 0.000
Pd 0.348 0.848 0.500
Pd 0.652 0.152 0.500
Pd 0.822 0.822 0.000



The following is a PBE calculation of LiSnPd4 after structural relaxation, from Alexandria via LeMat-Bulk.

Calculated values
- space group = C2/m (12)
- ΔH_f (0 K) (eV per atom) = -0.487
- size of the total moment (μB/f.u.) = 0.00
- energy above the most stable polymorph in this dataset (kcal/mol of atoms) = 0.13
- calculated density (kg/m3) = 9717

Lattice parameters (Å, degrees): 5.601 5.601 6.382 103.96 103.96 84.86
Positions (direct):
Li 0.097 0.097 0.355
Li 0.903 0.903 0.645
Sn 0.271 0.271 0.995
Sn 0.729 0.729 0.005
Pd 0.083 0.586 0.336
Pd 0.211 0.789 0.000
Pd 0.414 0.917 0.664
Pd 0.419 0.419 0.670
Pd 0.581 0.581 0.330
Pd 0.586 0.083 0.336
Pd 0.789 0.211 0.000
Pd 0.917 0.414 0.664